# AcSmCrO6 | Alexandria | PBE with a Hubbard U | optimized geometry
data_AcSmCrO6
_cell_length_a 5.5419
_cell_length_b 5.5419
_cell_length_c 5.1815
_cell_angle_alpha 90.00
_cell_angle_beta 90.00
_cell_angle_gamma 120.00
_symmetry_space_group_name_H-M 'P 3 1 2'
_symmetry_Int_Tables_number 149
_symmetry_space_group_name_Hall 'P 3 2'
loop_
_atom_site_label
_atom_site_type_symbol
_atom_site_fract_x
_atom_site_fract_y
_atom_site_fract_z
Ac1 Ac 0.0000 0.0000 0.0000
Sm1 Sm 0.3333 0.6667 0.5000
Cr1 Cr 0.6667 0.3333 0.5000
O1 O 0.3916 0.0580 0.7074
# DFT total energy = -66.43 eV for the cell shown